InIrAu2: optimized geometry, PBE.

Results
Total magnetic moment (μB per formula unit): 0.0
Total DFT energy (no corrections) (eV per atom): -4.461
DOS at the Fermi energy (states/eV/cell): 1.25
SG: Pmm2 (25)
Calculated formation energy (meV/atom): 77

The structure in POSCAR format:
```
InIrAu2
1.0
3.0794 0.0000 0.0000
0.0000 3.9107 0.0000
0.0000 0.0000 5.9058
In Ir Au
1 1 2
direct
0.0000 0.0000 0.0000
0.5000 0.5000 0.2173
0.0000 0.0000 0.4804
0.5000 0.5000 0.7200
```